No. 1
LiPuInRu (PBE-GGA, optimized geometry); formation energy from the elements = -0.08 eV per atom; space group = F-43m; uncorrected energy = -7.14 eV per atom
1.0
0.000 3.365 3.365
3.365 0.000 3.365
3.365 3.365 0.000
Li Pu In Ru
1 1 1 1
Direct
0.000 0.000 0.000
0.750 0.750 0.750
0.250 0.250 0.250
0.500 0.500 0.500



No. 2
LiPuInS4 (PBE-GGA, optimized geometry); space group = Imma; uncorrected energy = -6.13 eV per atom; formation energy (no corrections) = -1063.9 meV/atom
1.0
-3.820 4.012 5.456
3.820 -4.012 5.456
3.820 4.012 -5.456
Li Pu In S
2 2 2 8
Direct
0.383 0.133 0.250
0.617 0.867 0.750
0.000 0.500 0.500
0.500 0.500 0.000
0.000 0.000 0.500
0.000 0.500 0.000
0.224 0.748 0.476
0.227 0.252 0.976
0.252 0.269 0.517
0.252 0.735 0.983
0.748 0.265 0.017
0.748 0.731 0.483
0.773 0.748 0.024
0.776 0.252 0.524



No. 3
Li4Pu3InS8 (PBE-GGA, optimized geometry); space group = R-3m; uncorrected energy = -6.75 eV per atom; formation energy (no corrections) = -1353.0 meV/atom
1.0
3.934 2.271 6.120
-3.934 2.271 6.120
0.000 -4.542 6.120
Li Pu In S
4 3 1 8
Direct
0.000 0.000 0.000
0.000 0.500 0.500
0.500 0.000 0.500
0.500 0.500 0.000
0.000 0.000 0.500
0.000 0.500 0.000
0.500 0.000 0.000
0.500 0.500 0.500
0.249 0.249 0.249
0.253 0.253 0.743
0.253 0.743 0.253
0.257 0.747 0.747
0.743 0.253 0.253
0.747 0.257 0.747
0.747 0.747 0.257
0.751 0.751 0.751